The following is a DFT calculation (GGA-PBE) of a relaxed NdMgNi crystal.

Calculated values
- formation energy (eV/atom) = -0.125
- total moment (μB per formula unit) = 0.00

Lattice parameters (Å, degrees): 6.256 6.256 6.256 148.91 148.91 44.55
Sites, in units of the cell vectors:
Nd 0.000 0.000 0.000
Mg 0.272 0.272 0.000
Ni 0.650 0.650 0.000

---

The following is a DFT calculation (GGA-PBE) of a relaxed Nd12MgNi6 crystal.

Calculated values
- formation energy (eV/atom) = -0.218
- total moment (μB per formula unit) = 0.00

Lattice parameters (Å, degrees): 8.741 8.741 8.741 109.47 109.47 109.47
Sites, in units of the cell vectors:
Nd 0.122 0.308 0.814
Nd 0.186 0.494 0.308
Nd 0.186 0.878 0.692
Nd 0.308 0.186 0.494
Nd 0.308 0.814 0.122
Nd 0.494 0.308 0.186
Nd 0.506 0.692 0.814
Nd 0.692 0.186 0.878
Nd 0.692 0.814 0.506
Nd 0.814 0.122 0.308
Nd 0.814 0.506 0.692
Nd 0.878 0.692 0.186
Mg 0.000 0.000 0.000
Ni 0.121 0.500 0.621
Ni 0.379 0.879 0.500
Ni 0.500 0.379 0.879
Ni 0.500 0.621 0.121
Ni 0.621 0.121 0.500
Ni 0.879 0.500 0.379